Entry 1:
CsAg2PS4 | GGA-PBE | relaxed

Calculated values
ΔE_f (raw)	-0.4743	eV per atom
space group	I222
D(E_F)	0.0	states/eV/cell
calculated volume	28.01	Å³/atom

Lattice parameters (Å, degrees): 6.7450 6.7450 6.7450 123.32 108.45 97.71
Atoms (fractional coordinates):
Cs  0.0000  0.0000  0.0000
Ag  0.3324  0.8324  0.5000
Ag  0.6676  0.1676  0.5000
P  0.5000  0.5000  0.0000
S  0.2066  0.1866  0.6626
S  0.4759  0.8134  0.0200
S  0.5241  0.5441  0.3374
S  0.7934  0.4559  0.9800

---

Entry 2:
Sc2CdTcB | GGA-PBE | relaxed

Calculated values
E_form	-1.1	eV/f.u.
space group	P4/mmm
D(E_F)	4.7	states/eV/cell
calculated volume	18.05	Å³/atom

Lattice parameters (Å, degrees): 4.7372 4.7372 4.0213 90.00 90.00 90.00
Atoms (fractional coordinates):
Sc  0.0000  0.5000  0.0000
Sc  0.5000  0.0000  0.0000
Cd  0.0000  0.0000  0.5000
Tc  0.5000  0.5000  0.5000
B  0.5000  0.5000  0.0000

---

Entry 3:
Dy3Ni2Hg | GGA-PBE | relaxed

Calculated values
E_form	-2.4	eV/f.u.
space group	Pmc2_1
D(E_F)	11.6	states/eV/cell
calculated volume	22.61	Å³/atom

Lattice parameters (Å, degrees): 4.0702 9.2415 7.2135 90.00 90.00 90.00
Atoms (fractional coordinates):
Dy  0.0000  0.0586  0.0000
Dy  0.0000  0.9414  0.5000
Dy  0.5000  0.2488  0.3797
Dy  0.5000  0.3459  0.8509
Dy  0.5000  0.6541  0.3509
Dy  0.5000  0.7512  0.8797
Ni  0.0000  0.2146  0.6485
Ni  0.0000  0.7854  0.1485
Ni  0.5000  0.0563  0.7215
Ni  0.5000  0.9437  0.2215
Hg  0.0000  0.4651  0.1340
Hg  0.0000  0.5349  0.6340

---

Entry 4:
TaRh2O | GGA-PBE | relaxed

Calculated values
ΔE_f (raw)	-0.0164	eV per atom
space group	I-42d
D(E_F)	7.6	states/eV/cell
calculated volume	17.42	Å³/atom

Lattice parameters (Å, degrees): 6.2979 6.2979 6.2979 130.96 130.96 71.87
Atoms (fractional coordinates):
Ta  0.0000  0.0000  0.0000
Ta  0.7500  0.2500  0.5000
Rh  0.1898  0.6250  0.0648
Rh  0.3750  0.4398  0.5648
Rh  0.5602  0.1250  0.9352
Rh  0.8750  0.8102  0.4352
O  0.2500  0.7500  0.5000
O  0.5000  0.5000  0.0000

---

Entry 5:
NdHoRh | GGA-PBE | relaxed

Calculated values
E_form	-1.4	eV/f.u.
space group	P3m1
D(E_F)	2.8	states/eV/cell
calculated volume	29.95	Å³/atom

Lattice parameters (Å, degrees): 4.0710 4.0710 6.2592 90.00 90.00 120.00
Atoms (fractional coordinates):
Nd  0.0000  0.0000  0.0000
Ho  0.6667  0.3333  0.5220
Rh  0.3333  0.6667  0.7479

---

Entry 6:
CaBePdO5 | GGA-PBE | relaxed

Calculated values
ΔE_f (raw)	-1.3788	eV per atom
space group	C2/c
D(E_F)	8.9	states/eV/cell
calculated volume	11.51	Å³/atom

Lattice parameters (Å, degrees): 5.5444 5.5444 7.0707 105.33 105.33 108.27
Atoms (fractional coordinates):
Ca  0.1580  0.8420  0.7500
Ca  0.8420  0.1580  0.2500
Be  0.2031  0.7969  0.2500
Be  0.7969  0.2031  0.7500
Pd  0.5000  0.5000  0.0000
Pd  0.5000  0.5000  0.5000
O  0.1007  0.2446  0.9127
O  0.1864  0.5942  0.3761
O  0.2446  0.1007  0.4127
O  0.4058  0.8136  0.1239
O  0.4127  0.5873  0.7500
O  0.5873  0.4127  0.2500
O  0.5942  0.1864  0.8761
O  0.7554  0.8993  0.5873
O  0.8136  0.4058  0.6239
O  0.8993  0.7554  0.0873

---

Entry 7:
LaEr3Sn3 | GGA-PBE | relaxed

Calculated values
E_form	-3.9	eV/f.u.
space group	P6_3/m
D(E_F)	15.0	states/eV/cell
calculated volume	28.47	Å³/atom

Lattice parameters (Å, degrees): 9.2502 9.2502 5.3792 90.00 90.00 120.00
Atoms (fractional coordinates):
La  0.3333  0.6667  0.2500
La  0.6667  0.3333  0.7500
Er  0.0030  0.7659  0.2500
Er  0.2341  0.2371  0.2500
Er  0.2371  0.0030  0.7500
Er  0.7629  0.9970  0.2500
Er  0.7659  0.7629  0.7500
Er  0.9970  0.2341  0.7500
Sn  0.0728  0.6279  0.7500
Sn  0.3721  0.4449  0.7500
Sn  0.4449  0.0728  0.2500
Sn  0.5551  0.9272  0.7500
Sn  0.6279  0.5551  0.2500
Sn  0.9272  0.3721  0.2500

---

Entry 8:
Y2MgF8 | GGA-PBE | relaxed

Calculated values
ΔE_f (raw)	-3.9402	eV per atom
space group	C2/m
D(E_F)	0.0	states/eV/cell
calculated volume	13.45	Å³/atom

Lattice parameters (Å, degrees): 5.9301 5.9301 4.6314 104.85 104.85 73.50
Atoms (fractional coordinates):
Y  0.1762  0.1762  0.3812
Y  0.8238  0.8238  0.6188
Mg  0.5000  0.5000  0.0000
F  0.0793  0.0793  0.7963
F  0.1658  0.5476  0.7316
F  0.3656  0.3656  0.2335
F  0.4524  0.8342  0.2684
F  0.5476  0.1658  0.7316
F  0.6344  0.6344  0.7665
F  0.8342  0.4524  0.2684
F  0.9207  0.9207  0.2037